TaSnHg2P: relaxed, PBEsol.

Properties
M_tot in μB per cell: 1.2
Electronic total energy in eV per atom: -3.183
Energy of formation in meV per atom: 1564

Geometry as POSCAR:
```
TaSnHg2P
1.0
5.168 0.000 0.000
0.000 5.168 0.000
0.000 0.000 5.389
P Hg Sn Ta
1 2 1 1
Direct
0.500 0.500 0.500
0.000 0.500 0.000
0.500 0.000 0.000
0.000 0.000 0.000
0.000 0.000 0.500
```